Entry 1:
MgVRu: optimized geometry, PBE-GGA.

Unit cell a=4.1745 b=4.1489 c=7.6493 alpha=105.52 beta=90.00 gamma=120.20
With the nearest neighbours (Å) after each atom.
Positions (direct):
1 Mg 0.8712 0.7425 0.1187  4 Ru 2.73-3.02, 3 Mg 2.95-2.96, 1 V 3.03
2 Mg 0.1288 0.2575 0.8813  4 Ru 2.73-3.02, 3 Mg 2.95-2.96, 1 V 3.03
3 Ru 0.7354 0.4709 0.7030  4 V 2.38-2.47
4 Ru 0.2646 0.5291 0.2970  4 V 2.38-2.47
5 V 0.3753 0.7506 0.6237  4 Ru 2.38-2.47
6 V 0.6247 0.2494 0.3763  4 Ru 2.38-2.47

Computed properties:
E above lowest polymorph, eV per formula unit: 0.88

=====

Entry 2:
Mg3VRu: optimized geometry, PBE-GGA.

Unit cell a=4.9397 b=4.9397 c=4.9397 alpha=90.00 beta=90.00 gamma=90.00
With the nearest neighbours (Å) after each atom.
Positions (direct):
1 Ru 0.5000 0.5000 0.5000  12 Mg 3.49
2 Mg 0.0000 0.5000 0.0000  2 V 2.47
3 Mg 0.0000 0.0000 0.5000  2 V 2.47
4 Mg 0.5000 0.0000 0.0000  2 V 2.47
5 V 0.0000 0.0000 0.0000  6 Mg 2.47

Computed properties:
E above lowest polymorph, eV per formula unit: 3.55

=====

Entry 3:
Mg3VRu: optimized geometry, PBE-GGA.

Unit cell a=4.8726 b=4.8726 c=4.8726 alpha=90.00 beta=90.00 gamma=90.00
With the nearest neighbours (Å) after each atom.
Positions (direct):
1 Ru 0.0000 0.0000 0.0000  6 Mg 2.44
2 Mg 0.0000 0.5000 0.0000  2 Ru 2.44
3 Mg 0.0000 0.0000 0.5000  2 Ru 2.44
4 Mg 0.5000 0.0000 0.0000  2 Ru 2.44
5 V 0.5000 0.5000 0.5000  12 Mg 3.45

Computed properties:
E above lowest polymorph, eV per formula unit: 0.00

=====

Entry 4:
MgVRu3: optimized geometry, PBE-GGA.

Unit cell a=4.3891 b=4.3891 c=4.3891 alpha=90.00 beta=90.00 gamma=90.00
With the nearest neighbours (Å) after each atom.
Positions (direct):
1 Ru 0.0000 0.5000 0.0000  2 Mg 2.19
2 Ru 0.0000 0.0000 0.5000  2 Mg 2.19
3 Ru 0.5000 0.0000 0.0000  2 Mg 2.19
4 Mg 0.0000 0.0000 0.0000  6 Ru 2.19
5 V 0.5000 0.5000 0.5000  12 Ru 3.10

Computed properties:
E above lowest polymorph, eV per formula unit: 4.09

=====

Entry 5:
MgVZnRu: optimized geometry, PBE-GGA.

Unit cell a=4.3501 b=4.3501 c=4.3501 alpha=60.00 beta=60.00 gamma=60.00
With the nearest neighbours (Å) after each atom.
Positions (direct):
1 Ru 0.2500 0.2500 0.2500  4 Mg 2.66, 4 V 2.66
2 Zn 0.7500 0.7500 0.7500  4 Mg 2.66, 4 V 2.66
3 Mg 0.0000 0.0000 0.0000  4 Ru 2.66, 4 Zn 2.66
4 V 0.5000 0.5000 0.5000  4 Ru 2.66, 4 Zn 2.66

=====

Entry 6:
MgZr2V2Ru5: optimized geometry, PBE-GGA.

Unit cell a=3.2846 b=9.9488 c=9.9488 alpha=90.00 beta=90.00 gamma=90.00
With the nearest neighbours (Å) after each atom.
Positions (direct):
1 Mg 0.0000 0.0000 0.0000  8 Ru 2.72
2 Mg 0.0000 0.5000 0.5000  8 Ru 2.72
3 Zr 0.0000 0.6734 0.1734  3 V 2.81-3.02, 10 Ru 2.94-3.14
4 Zr 0.0000 0.3266 0.8266  3 V 2.81-3.02, 10 Ru 2.94-3.14
5 Zr 0.0000 0.1734 0.3266  3 V 2.81-3.02, 10 Ru 2.94-3.14
6 Zr 0.0000 0.8266 0.6734  3 V 2.81-3.02, 10 Ru 2.94-3.14
7 V 0.0000 0.1270 0.6270  6 Ru 2.40-2.43
8 V 0.0000 0.8730 0.3730  6 Ru 2.40-2.43
9 V 0.0000 0.6270 0.8730  6 Ru 2.40-2.43
10 V 0.0000 0.3730 0.1270  6 Ru 2.40-2.43
11 Ru 0.5000 0.2073 0.0672  2 V 2.40
12 Ru 0.5000 0.7927 0.9328  2 V 2.40
13 Ru 0.5000 0.0672 0.7927  2 V 2.40
14 Ru 0.5000 0.7073 0.4328  2 V 2.40
15 Ru 0.5000 0.9328 0.2073  2 V 2.40
16 Ru 0.5000 0.2927 0.5672  2 V 2.40
17 Ru 0.5000 0.5672 0.7073  2 V 2.40
18 Ru 0.5000 0.4328 0.2927  2 V 2.40
19 Ru 0.5000 0.5000 0.0000  4 V 2.43
20 Ru 0.5000 0.0000 0.5000  4 V 2.43

=====

Entry 7:
MgRuW2: optimized geometry, PBE-GGA.

Unit cell a=4.7309 b=4.7309 c=2.8260 alpha=90.00 beta=90.00 gamma=90.00
With the nearest neighbours (Å) after each atom.
Positions (direct):
1 Mg 0.5000 0.0000 0.5000  8 W 2.76, 2 Mg 2.83
2 Ru 0.0000 0.5000 0.5000  8 W 2.76, 2 Ru 2.83
3 W 0.0000 0.0000 0.0000  4 Mg 2.76, 4 Ru 2.76, 2 W 2.83
4 W 0.5000 0.5000 0.0000  4 Ru 2.76, 4 Mg 2.76, 2 W 2.83

=====

Entry 8:
Mg2RuW: optimized geometry, PBE-GGA.

Unit cell a=2.7344 b=2.7344 c=9.1145 alpha=90.00 beta=90.00 gamma=106.65
With the nearest neighbours (Å) after each atom.
Positions (direct):
1 Mg 0.0000 0.0000 0.0120  2 Ru 2.72, 4 Mg 2.73, 2 W 2.89
2 Mg 0.0000 0.0000 0.4880  2 Ru 2.72, 4 Mg 2.73, 2 W 2.89
3 Ru 0.5000 0.5000 0.2500  4 Mg 2.72, 4 Ru 2.73
4 W 0.5000 0.5000 0.7500  4 W 2.73, 4 Mg 2.89

Computed properties:
E above lowest polymorph, eV per formula unit: 1.15

=====

Calculated values (kg/m³) of ρ for the records, taken in order: 5378, 3099, 3229, 7432, 6896, 8315, 12945, 8482.
Calculated values (states/eV per atom) of DOS(E_F) for the records, taken in order: 1.223, 0.581, 0.983, 1.137, 0.697, 0.615, 1.277, 0.922.
Calculated values (meV/atom) of formation energy for the records, taken in order: 190.9, 1485.3, 775.8, 1632.0, -52.0, -202.5, 628.5, 318.1.